Record 1
{"formula": "PrHo12Sc7", "functional": "PBE", "state": "relaxed", "lattice": [[9.0220, -0.1644, -0.2467], [-2.6666, 8.6204, -0.2467], [-2.6666, -3.5479, 7.8603]], "species": ["Ho", "Ho", "Ho", "Sc", "Ho", "Sc", "Sc", "Ho", "Ho", "Ho", "Ho", "Sc", "Ho", "Sc", "Pr", "Ho", "Ho", "Sc", "Sc", "Ho"], "frac_coords": [[0.6303, 0.1918, 0.5243], [0.1918, 0.5243, 0.6303], [0.8082, 0.4757, 0.3697], [0.2377, 0.1115, 0.3974], [0.1468, 0.9340, 0.6674], [0.8885, 0.6026, 0.7623], [0.1115, 0.3974, 0.2377], [0.3326, 0.8532, 0.0660], [0.6674, 0.1468, 0.9340], [0.3697, 0.8082, 0.4757], [0.8532, 0.0660, 0.3326], [0.5000, 0.5000, 0.5000], [0.5243, 0.6303, 0.1918], [0.7623, 0.8885, 0.6026], [0.0000, 0.0000, 0.0000], [0.9340, 0.6674, 0.1468], [0.4757, 0.3697, 0.8082], [0.3974, 0.2377, 0.1115], [0.6026, 0.7623, 0.8885], [0.0660, 0.3326, 0.8532]], "volume_a3_per_atom": 29.59, "density_g_cm3": 6.83, "final_energy_ev_per_atom": -5.0197, "formation_enthalpy_0k_mev_per_atom": 182, "e_above_lowest_polymorph_mev_per_atom": 0}

Record 2
{"formula": "CeThPa2", "functional": "PBE", "state": "relaxed", "lattice": [[4.4910, 0.0000, -0.0244], [0.0000, 4.3743, 0.0000], [-2.2000, 0.0000, 11.0434]], "species": ["Ce", "Pa", "Pa", "Th", "Pa", "Th", "Pa", "Ce"], "frac_coords": [[0.8475, 0.7500, 0.6979], [0.0568, 0.7500, 0.1139], [0.9432, 0.2500, 0.8861], [0.2961, 0.2500, 0.5944], [0.5537, 0.2500, 0.1080], [0.7039, 0.7500, 0.4056], [0.4463, 0.7500, 0.8920], [0.1525, 0.2500, 0.3021]], "volume_a3_per_atom": 27.09, "density_g_cm3": 12.78, "final_energy_ev_per_atom": -7.9192, "formation_enthalpy_0k_mev_per_atom": 167, "e_above_lowest_polymorph_mev_per_atom": 88}

Record 3
{"formula": "ScVBr3", "functional": "PBE", "state": "relaxed", "lattice": [[5.1780, 0.0000, 0.0000], [0.0000, 5.1780, 0.0000], [0.0000, 0.0000, 5.1780]], "species": ["Br", "Sc", "Br", "V", "Br"], "frac_coords": [[0.5000, 0.0000, 0.0000], [0.5000, 0.5000, 0.5000], [0.0000, 0.5000, 0.0000], [0.0000, 0.0000, 0.0000], [0.0000, 0.0000, 0.5000]], "volume_a3_per_atom": 27.77, "density_g_cm3": 4.01, "final_energy_ev_per_atom": -4.3743, "e_form_raw_mev_per_atom": -281, "e_above_lowest_polymorph_mev_per_atom": 74}

Record 4
{"formula": "Ac3GeI", "functional": "PBE", "state": "relaxed", "lattice": [[-2.9146, -3.3975, 0.4744], [3.1886, -1.4072, 9.5124], [-6.0300, 5.5691, 2.8451]], "species": ["Ac", "Ac", "Ge", "I", "Ge", "I", "Ac", "Ac", "Ac", "Ac"], "frac_coords": [[0.7500, 0.9404, 0.8337], [0.7500, 0.7500, 0.2580], [0.2500, 0.7500, 0.0130], [0.7500, 0.2500, 0.4281], [0.7500, 0.2500, 0.9870], [0.2500, 0.7500, 0.5719], [0.2500, 0.4404, 0.1663], [0.2500, 0.0596, 0.1663], [0.7500, 0.5596, 0.8337], [0.2500, 0.2500, 0.7420]], "volume_a3_per_atom": 39.62, "density_g_cm3": 7.38, "final_energy_ev_per_atom": -4.2972, "e_form_raw_mev_per_atom": -599}

Record 5
{"formula": "SrNdB12", "functional": "PBE", "state": "relaxed", "lattice": [[-1.6136, 3.0282, -4.7824], [-5.6894, 0.3848, -1.4589], [-2.8472, 5.1189, 0.5797]], "species": ["Sr", "B", "B", "B", "B", "B", "B", "B", "B", "B", "Nd", "B", "B", "B"], "frac_coords": [[0.5000, 0.5000, 0.5000], [0.8995, 0.6005, 0.6005], [0.1005, 0.3995, 0.1005], [0.3995, 0.1005, 0.3995], [0.3995, 0.1005, 0.1005], [0.8995, 0.6005, 0.8995], [0.1005, 0.1005, 0.3995], [0.8995, 0.8995, 0.6005], [0.6005, 0.8995, 0.8995], [0.1005, 0.3995, 0.3995], [0.0000, 0.0000, 0.0000], [0.6005, 0.8995, 0.6005], [0.3995, 0.3995, 0.1005], [0.6005, 0.6005, 0.8995]], "volume_a3_per_atom": 10.30, "density_g_cm3": 4.16, "final_energy_ev_per_atom": -6.6531, "formation_enthalpy_0k_mev_per_atom": -469}

Record 6
{"formula": "MgTe2W", "functional": "PBE", "state": "relaxed", "lattice": [[-0.2371, 4.4226, 5.8581], [-5.4415, 3.6147, 3.3551], [3.3371, -6.0245, -2.5499]], "species": ["Te", "W", "Mg", "Te"], "frac_coords": [[0.9103, 0.9103, 0.0000], [0.7500, 0.2500, 0.5000], [0.2500, 0.7500, 0.5000], [0.5897, 0.5897, 0.0000]], "volume_a3_per_atom": 26.73, "density_g_cm3": 7.20, "final_energy_ev_per_atom": -4.9960, "e_form_raw_mev_per_atom": 212}

Record 7
{"formula": "CaEu3F", "functional": "PBE", "state": "relaxed", "lattice": [[5.4823, 0.0000, 0.0000], [0.0000, 5.4823, 0.0000], [0.0000, 0.0000, 5.4823]], "species": ["F", "Eu", "Eu", "Ca", "Eu"], "frac_coords": [[0.0000, 0.0000, 0.0000], [0.0000, 0.5000, 0.0000], [0.5000, 0.0000, 0.0000], [0.5000, 0.5000, 0.5000], [0.0000, 0.0000, 0.5000]], "volume_a3_per_atom": 32.95, "density_g_cm3": 5.19, "final_energy_ev_per_atom": -7.9414, "e_form_raw_mev_per_atom": -1002}

Record 8
{"formula": "Na3NbRh2Se6", "functional": "PBE", "state": "relaxed", "lattice": [[-3.3799, -5.3511, 1.7240], [6.0259, -0.8542, -2.4473], [1.7750, 2.3077, 6.4903]], "species": ["Se", "Na", "Rh", "Na", "Se", "Se", "Se", "Se", "Rh", "Na", "Nb", "Se"], "frac_coords": [[0.9267, 0.5838, 0.7980], [0.5000, 0.5000, 0.5000], [0.3297, 0.6703, 0.0000], [0.1627, 0.8373, 0.5000], [0.2854, 0.2854, 0.8054], [0.0733, 0.4162, 0.2020], [0.7146, 0.7146, 0.1946], [0.5838, 0.9267, 0.7980], [0.6703, 0.3297, 0.0000], [0.8373, 0.1627, 0.5000], [0.0000, 0.0000, 0.0000], [0.4162, 0.0733, 0.2020]], "volume_a3_per_atom": 21.56, "density_g_cm3": 5.40, "final_energy_ev_per_atom": -4.8263, "e_form_raw_mev_per_atom": -690}

Record 9
{"formula": "Co3Re2Ni3", "functional": "PBE", "state": "relaxed", "lattice": [[-3.0726, -2.5707, -2.1889], [3.3311, -0.6515, -3.0529], [1.4254, -3.9531, 1.7838]], "species": ["Ni", "Co", "Co", "Re", "Ni", "Re", "Co", "Ni"], "frac_coords": [[0.7550, 0.0000, 0.7550], [0.1963, 0.8037, 0.5000], [0.5000, 0.1963, 0.1963], [0.7086, 0.7086, 0.2914], [0.2450, 0.7550, 0.0000], [0.2914, 0.2914, 0.7086], [0.8037, 0.5000, 0.8037], [0.0000, 0.2450, 0.2450]], "volume_a3_per_atom": 11.74, "density_g_cm3": 12.83, "final_energy_ev_per_atom": -7.8935, "formation_enthalpy_0k_mev_per_atom": 51}

Record 10
{"formula": "BaNdPt", "functional": "PBE", "state": "relaxed", "lattice": [[-4.2651, 0.7528, -0.8116], [1.6048, -4.0949, -0.2701], [-1.4938, -1.0396, 6.8860]], "species": ["Nd", "Ba", "Pt"], "frac_coords": [[0.3333, 0.6667, 0.5481], [0.0000, 0.0000, 0.0907], [0.6667, 0.3333, 0.3611]], "volume_a3_per_atom": 39.92, "density_g_cm3": 6.61, "final_energy_ev_per_atom": -4.8706, "formation_enthalpy_0k_mev_per_atom": -627}

Record 11
{"formula": "TlTeIr2", "functional": "PBE", "state": "relaxed", "lattice": [[0.0000, 3.3493, 3.3493], [3.3493, 0.0000, 3.3493], [3.3493, 3.3493, 0.0000]], "species": ["Ir", "Ir", "Te", "Tl"], "frac_coords": [[0.7500, 0.7500, 0.7500], [0.2500, 0.2500, 0.2500], [0.0000, 0.0000, 0.0000], [0.5000, 0.5000, 0.5000]], "volume_a3_per_atom": 18.79, "density_g_cm3": 15.83, "final_energy_ev_per_atom": -5.1662, "e_form_raw_mev_per_atom": 641, "e_above_lowest_polymorph_mev_per_atom": 257}

Record 12
{"formula": "TcP3W", "functional": "PBE", "state": "relaxed", "lattice": [[4.5629, 0.0000, 0.0000], [0.0000, 4.5629, 0.0000], [0.0000, 0.0000, 4.5629]], "species": ["P", "P", "P", "Tc", "W"], "frac_coords": [[0.0000, 0.0000, 0.5000], [0.0000, 0.5000, 0.0000], [0.5000, 0.0000, 0.0000], [0.0000, 0.0000, 0.0000], [0.5000, 0.5000, 0.5000]], "volume_a3_per_atom": 19.00, "density_g_cm3": 6.55, "final_energy_ev_per_atom": -6.6284, "formation_enthalpy_0k_mev_per_atom": 1281, "e_above_lowest_polymorph_mev_per_atom": 180}

Record 13
{"formula": "Zr6GeBi2", "functional": "PBE", "state": "relaxed", "lattice": [[-1.0742, 3.0248, -2.3895], [-7.0825, -3.0080, -0.6239], [1.5770, 5.0220, 5.6483]], "species": ["Zr", "Ge", "Zr", "Zr", "Bi", "Bi", "Zr", "Zr", "Zr"], "frac_coords": [[0.5000, 0.0000, 0.6096], [0.5000, 0.0001, 0.0000], [0.5000, 0.3905, 0.3904], [0.5000, 0.6094, 0.0000], [0.0000, 0.6667, 0.3335], [0.0000, 0.3333, 0.6665], [0.0000, 0.9999, 0.2401], [0.0000, 0.2403, 0.0000], [0.0000, 0.7598, 0.7599]], "volume_a3_per_atom": 22.95, "density_g_cm3": 8.34, "final_energy_ev_per_atom": -7.5663, "formation_enthalpy_0k_mev_per_atom": -492}

Record 14
{"formula": "Ca2ZnAg7", "functional": "PBE", "state": "relaxed", "lattice": [[4.1585, 0.0000, 0.0000], [0.0000, 4.1585, 0.0000], [0.0000, 0.0000, 12.7526]], "species": ["Ag", "Zn", "Ag", "Ca", "Ca", "Ag", "Ag", "Ag", "Ag", "Ag"], "frac_coords": [[0.5000, 0.0000, 0.1415], [0.5000, 0.5000, 0.0000], [0.0000, 0.5000, 0.8585], [0.5000, 0.0000, 0.7494], [0.0000, 0.5000, 0.2506], [0.5000, 0.5000, 0.5000], [0.5000, 0.0000, 0.3522], [0.0000, 0.0000, 0.5000], [0.0000, 0.0000, 0.0000], [0.0000, 0.5000, 0.6478]], "volume_a3_per_atom": 22.05, "density_g_cm3": 6.78, "final_energy_ev_per_atom": -2.6447, "formation_enthalpy_0k_mev_per_atom": -121}

Record 15
{"formula": "TaIrSN2", "functional": "PBE", "state": "relaxed", "lattice": [[-1.3593, 2.9745, -2.1810], [-1.5425, -2.5698, -2.5434], [-4.3380, -0.0307, 2.6618]], "species": ["S", "N", "Ir", "Ta", "N"], "frac_coords": [[0.0000, 0.0000, 0.5000], [0.5000, 0.0000, 0.0000], [0.5000, 0.5000, 0.5000], [0.0000, 0.0000, 0.0000], [0.0000, 0.5000, 0.0000]], "volume_a3_per_atom": 15.73, "density_g_cm3": 9.15, "final_energy_ev_per_atom": -7.4325, "e_form_raw_mev_per_atom": 866, "e_above_lowest_polymorph_mev_per_atom": 0}

Record 16
{"formula": "NbPICl2", "functional": "PBE", "state": "relaxed", "lattice": [[4.7900, 0.0000, 0.0000], [0.0000, 4.7900, 0.0000], [0.0000, 0.0000, 5.2627]], "species": ["I", "Cl", "Nb", "Cl", "P"], "frac_coords": [[0.5000, 0.5000, 0.5000], [0.5000, 0.0000, 0.0000], [0.0000, 0.0000, 0.0000], [0.0000, 0.5000, 0.0000], [0.0000, 0.0000, 0.5000]], "volume_a3_per_atom": 24.15, "density_g_cm3": 4.42, "final_energy_ev_per_atom": -4.3694, "e_form_raw_mev_per_atom": -225, "e_above_lowest_polymorph_mev_per_atom": 0}

Record 17
{"formula": "BaNi2Sn2", "functional": "PBE", "state": "relaxed", "lattice": [[-0.5072, -0.3455, 4.5276], [0.5746, -4.5240, -0.2809], [5.4320, -1.7897, 2.7773]], "species": ["Sn", "Sn", "Ni", "Ni", "Ba"], "frac_coords": [[0.7500, 0.2500, 0.5000], [0.2500, 0.7500, 0.5000], [0.6228, 0.6228, 0.7545], [0.3772, 0.3772, 0.2455], [0.0000, 0.0000, 0.0000]], "volume_a3_per_atom": 22.86, "density_g_cm3": 7.15, "final_energy_ev_per_atom": -4.5630, "formation_enthalpy_0k_mev_per_atom": -265}

Record 18
{"formula": "VZn2Ni", "functional": "PBE", "state": "relaxed", "lattice": [[-1.5212, -2.1440, -0.2598], [2.1327, -1.5414, 0.2323], [-0.9665, -0.2158, 7.4398]], "species": ["Zn", "V", "Zn", "Ni"], "frac_coords": [[0.0000, 0.0000, 0.9953], [0.5000, 0.5000, 0.7322], [0.5000, 0.5000, 0.2701], [0.0000, 0.0000, 0.5024]], "volume_a3_per_atom": 13.09, "density_g_cm3": 7.62, "final_energy_ev_per_atom": -4.4713, "formation_enthalpy_0k_mev_per_atom": -109}

Record 19
{"formula": "Sr4HgSe", "functional": "PBE", "state": "relaxed", "lattice": [[-3.3141, -3.2248, 5.4695], [-5.7925, -4.0377, -1.2009], [0.3813, -7.1152, 0.7254]], "species": ["Hg", "Sr", "Sr", "Sr", "Se", "Sr"], "frac_coords": [[0.7500, 0.7500, 0.7500], [0.3747, 0.8759, 0.3747], [0.3747, 0.3747, 0.8759], [0.8759, 0.3747, 0.3747], [0.0000, 0.0000, 0.0000], [0.3747, 0.3747, 0.3747]], "volume_a3_per_atom": 43.30, "density_g_cm3": 4.03, "final_energy_ev_per_atom": -1.6094, "e_form_raw_mev_per_atom": 143}

Record 20
{"formula": "Ho6HgTe3P2", "functional": "PBE", "state": "relaxed", "lattice": [[4.1245, 0.0000, 0.0000], [0.0000, 8.6101, 0.2827], [-2.0623, -2.5069, 8.8885]], "species": ["P", "P", "Ho", "Ho", "Ho", "Te", "Te", "Ho", "Te", "Ho", "Ho", "Hg"], "frac_coords": [[0.8303, 0.6604, 0.6606], [0.1697, 0.3396, 0.3394], [0.9870, 0.7482, 0.9740], [0.3327, 0.8850, 0.6655], [0.6757, 0.5635, 0.3515], [0.1641, 0.8328, 0.3283], [0.8359, 0.1672, 0.6717], [0.6673, 0.1150, 0.3345], [0.5000, 0.5000, 0.0000], [0.3243, 0.4365, 0.6485], [0.0130, 0.2518, 0.0260], [0.5000, 0.0000, 0.0000]], "volume_a3_per_atom": 26.55, "density_g_cm3": 8.52, "final_energy_ev_per_atom": -5.2836, "e_form_raw_mev_per_atom": -1283}